[1]
CdRhPbN2 | PBEsol | relaxed

Lattice parameters (Å, degrees): 4.1818 4.1818 5.8176 90.00 90.00 90.00
With the nearest neighbours (Å) after each atom.
Positions (direct):
Pb: 0.0000 0.0000 0.0000  4 N 2.09
Rh: 0.5000 0.5000 0.5000  4 Cd 2.96
Cd: 0.0000 0.0000 0.5000  2 Pb 2.91, 4 Rh 2.96
N: 0.5000 0.0000 0.0000  2 Pb 2.09
N: 0.0000 0.5000 0.0000  2 Pb 2.09

Results
- SG = P4/mmm, No. 123
- theoretical density (g/cm3) = 7.35
- calculated volume (Å³ per atom) = 20.35
- E (eV/atom) = -3.902

[2]
ZrAl4As | PBEsol | relaxed

Lattice parameters (Å, degrees): 5.2622 5.2622 5.2622 60.00 60.00 60.00
With the nearest neighbours (Å) after each atom.
Positions (direct):
Al: 0.3738 0.3738 0.3738  6 Al 2.61-2.66
Al: 0.3738 0.3738 0.8786  6 Al 2.61-2.66
Al: 0.8786 0.3738 0.3738  6 Al 2.61-2.66
Al: 0.3738 0.8786 0.3738  6 Al 2.61-2.66
Zr: 0.0000 0.0000 0.0000  12 Al 3.08, 4 As 3.22
As: 0.7500 0.7500 0.7500  12 Al 3.09, 4 Zr 3.22

Results
- SG = F-43m, No. 216
- theoretical density (g/cm3) = 4.42
- calculated volume (Å³ per atom) = 17.17
- DFT formation energy (eV per atom) = -0.173

[3]
MnBe4Al | PBEsol | relaxed

Lattice parameters (Å, degrees): 4.2626 4.2626 4.2626 60.00 60.00 60.00
With the nearest neighbours (Å) after each atom.
Positions (direct):
Be: 0.3767 0.3767 0.3767  6 Be 2.10-2.16
Be: 0.3767 0.3767 0.8700  6 Be 2.10-2.16
Be: 0.8700 0.3767 0.3767  6 Be 2.10-2.16
Be: 0.3767 0.8700 0.3767  6 Be 2.10-2.16
Al: 0.0000 0.0000 0.0000  12 Be 2.50, 4 Mn 2.61
Mn: 0.7500 0.7500 0.7500  12 Be 2.50, 4 Al 2.61

Results
- SG = F-43m, No. 216
- theoretical density (g/cm3) = 3.58
- calculated volume (Å³ per atom) = 9.13
- DFT formation energy (eV per atom) = -0.152

Values for magnetization, μB per cell, ordered as above
3.0, 0.0, 2.0